DFT (GGA-PBE) results for crystalline CsSeF4 at its relaxed geometry.

a = 4.8520 Å, b = 6.4418 Å, c = 8.0549 Å
α = 90.00°, β = 107.53°, γ = 90.00°
Fractional coordinates of all 12 atoms:
Se: 0.0959 0.7500 0.1918
F: 0.0000 0.0000 0.0000
F: 0.4078 0.2500 0.8155
F: 0.0000 0.5000 0.0000
Se: 0.9041 0.2500 0.8082
F: 0.1807 0.9520 0.3613
F: 0.8193 0.0480 0.6387
Cs: 0.6197 0.2500 0.2395
F: 0.1807 0.5480 0.3613
F: 0.8193 0.4520 0.6387
F: 0.5922 0.7500 0.1845
Cs: 0.3803 0.7500 0.7605

Computed properties:
Energy above the lowest structure with this stoichiometry: 29 meV/atom
V: 20.0 Å³/atom
Size of the total moment: 0.0 μB/cell
N(E_F): 0.1068 states/eV per atom
Formation energy without anion corrections: -1120 kJ/mol of formula units